Entry 1:
First-principles (PBE-GGA) data for crystalline Pb3SO6 at its relaxed geometry, as listed in Alexandria.

abc: 7.7570 7.7570 6.1474
angles: 90.00 90.00 104.27
With the nearest neighbours (Å) after each atom.
Positions (direct):
Pb 0.0993 0.9007 0.5000  4 O 2.44-2.48
Pb 0.1929 0.3827 0.5106  2 O 2.30-2.31
Pb 0.3827 0.1929 0.0106  2 O 2.30-2.31
Pb 0.6173 0.8071 0.5106  2 O 2.30-2.31
Pb 0.8071 0.6173 0.0106  2 O 2.30-2.31
Pb 0.9007 0.0993 0.0000  4 O 2.44-2.48
S 0.3098 0.6902 0.0382  4 O 1.48-1.50
S 0.6902 0.3098 0.5382  4 O 1.48-1.50
O 0.1276 0.6148 0.1316  1 S 1.50
O 0.1533 0.1578 0.2586  4 Pb 2.30-2.48
O 0.1578 0.1533 0.7586  4 Pb 2.30-2.48
O 0.2994 0.7006 0.7983  1 S 1.48
O 0.3852 0.8724 0.1316  1 S 1.50
O 0.4279 0.5721 0.1054  1 S 1.50
O 0.5721 0.4279 0.6054  1 S 1.50
O 0.6148 0.1276 0.6316  1 S 1.50
O 0.7006 0.2994 0.2983  1 S 1.48
O 0.8422 0.8467 0.2586  4 Pb 2.30-2.48
O 0.8467 0.8422 0.7586  4 Pb 2.30-2.48
O 0.8724 0.3852 0.6316  1 S 1.50

## Properties
ΔE_f (raw) (eV/f.u.): -13.42
Energy above the lowest structure with this stoichiometry (eV per formula unit): 0.00


Entry 2:
First-principles (PBE-GGA) data for crystalline Pb5SO8 at its relaxed geometry, as listed in Alexandria.

abc: 7.4934 12.0288 11.8752
angles: 90.00 90.69 90.00
With the nearest neighbours (Å) after each atom.
Positions (direct):
Pb 0.1151 0.2423 0.3939  3 O 2.26-2.35
Pb 0.1151 0.2577 0.8939  3 O 2.26-2.35
Pb 0.1221 0.5880 0.8908  4 O 2.37-2.49
Pb 0.1221 0.9120 0.3908  4 O 2.37-2.49
Pb 0.1345 0.5795 0.3651  2 O 2.24
Pb 0.1345 0.9205 0.8651  2 O 2.24
Pb 0.3595 0.7396 0.6057  3 O 2.31
Pb 0.3595 0.7604 0.1057  3 O 2.31
Pb 0.3756 0.0573 0.6167  3 O 2.30-2.38
Pb 0.3756 0.4427 0.1167  3 O 2.30-2.38
Pb 0.6244 0.5573 0.8833  3 O 2.30-2.38
Pb 0.6244 0.9427 0.3833  3 O 2.30-2.38
Pb 0.6405 0.2396 0.8943  3 O 2.31
Pb 0.6405 0.2604 0.3943  3 O 2.31
Pb 0.8655 0.0795 0.1349  2 O 2.24
Pb 0.8655 0.4205 0.6349  2 O 2.24
Pb 0.8779 0.0880 0.6092  4 O 2.37-2.49
Pb 0.8779 0.4120 0.1092  4 O 2.37-2.49
Pb 0.8849 0.7423 0.1061  3 O 2.26-2.35
Pb 0.8849 0.7577 0.6061  3 O 2.26-2.35
S 0.3557 0.1132 0.1523  4 O 1.50
S 0.3557 0.3868 0.6523  4 O 1.50
S 0.6443 0.6132 0.3477  4 O 1.50
S 0.6443 0.8868 0.8477  4 O 1.50
O 0.1206 0.7255 0.4816  4 Pb 2.24-2.49
O 0.1206 0.7745 0.9816  4 Pb 2.24-2.49
O 0.1311 0.6776 0.2046  3 Pb 2.24-2.31
O 0.1311 0.8224 0.7046  3 Pb 2.24-2.31
O 0.1345 0.0823 0.4940  4 Pb 2.26-2.39
O 0.1345 0.4177 0.9940  4 Pb 2.26-2.39
O 0.2301 0.0251 0.1115  1 S 1.50
O 0.2301 0.4749 0.6115  1 S 1.50
O 0.2786 0.2247 0.1236  1 S 1.50
O 0.2786 0.2753 0.6236  1 S 1.50
O 0.3781 0.1039 0.2780  1 S 1.50
O 0.3781 0.3961 0.7780  1 S 1.50
O 0.3905 0.6015 0.9984  4 Pb 2.30-2.38
O 0.3905 0.8985 0.4984  4 Pb 2.30-2.38
O 0.4664 0.6013 0.4022  1 S 1.50
O 0.4664 0.8987 0.9022  1 S 1.50
O 0.5336 0.1013 0.0978  1 S 1.50
O 0.5336 0.3987 0.5978  1 S 1.50
O 0.6095 0.1015 0.5016  4 Pb 2.30-2.38
O 0.6095 0.3985 0.0016  4 Pb 2.30-2.38
O 0.6219 0.6039 0.2220  1 S 1.50
O 0.6219 0.8961 0.7220  1 S 1.50
O 0.7214 0.7247 0.3764  1 S 1.50
O 0.7214 0.7753 0.8764  1 S 1.50
O 0.7699 0.5251 0.3885  1 S 1.50
O 0.7699 0.9749 0.8885  1 S 1.50
O 0.8655 0.5823 0.0060  4 Pb 2.26-2.39
O 0.8655 0.9177 0.5060  4 Pb 2.26-2.39
O 0.8689 0.1776 0.2954  3 Pb 2.24-2.31
O 0.8689 0.3224 0.7954  3 Pb 2.24-2.31
O 0.8794 0.2255 0.0184  4 Pb 2.24-2.49
O 0.8794 0.2745 0.5184  4 Pb 2.24-2.49

## Properties
ΔE_f (raw) (eV/f.u.): -17.98


Entry 3:
First-principles (PBE-GGA) data for crystalline PbSO3 at its relaxed geometry, as listed in Alexandria.

abc: 3.8867 3.8867 3.8867
angles: 90.00 90.00 90.00
With the nearest neighbours (Å) after each atom.
Positions (direct):
Pb 0.0000 0.0000 0.0000  12 O 2.75
S 0.5000 0.5000 0.5000  6 O 1.94
O 0.0000 0.5000 0.5000  2 S 1.94
O 0.5000 0.0000 0.5000  2 S 1.94
O 0.5000 0.5000 0.0000  2 S 1.94

## Properties
ΔE_f (raw) (eV/f.u.): -2.35


Entry 4:
First-principles (PBE-GGA) data for crystalline SbPbS2O8 at its relaxed geometry, as listed in Alexandria.

abc: 8.6845 8.6845 8.6845
angles: 33.17 33.17 33.17
With the nearest neighbours (Å) after each atom.
Positions (direct):
Sb 0.0000 0.0000 0.0000  6 O 2.53
Pb 0.5000 0.5000 0.5000  12 O 2.89-2.92
S 0.2426 0.2426 0.2426  4 O 1.50
S 0.7574 0.7574 0.7574  4 O 1.50
O 0.0294 0.7291 0.4561  1 S 1.50
O 0.1817 0.1817 0.1817  1 S 1.50
O 0.2709 0.5439 0.9706  1 S 1.50
O 0.4561 0.0294 0.7291  1 S 1.50
O 0.5439 0.9706 0.2709  1 S 1.50
O 0.7291 0.4561 0.0294  1 S 1.50
O 0.8183 0.8183 0.8183  1 S 1.50
O 0.9706 0.2709 0.5439  1 S 1.50

## Properties
ΔE_f (raw) (eV/f.u.): -13.87


Entry 5:
First-principles (PBE-GGA) data for crystalline Zn2Si3Pb4SO15 at its relaxed geometry, as listed in Alexandria.

abc: 11.5167 5.3522 12.8068
angles: 90.00 108.09 90.00
With the nearest neighbours (Å) after each atom.
Positions (direct):
Zn 0.0772 0.0000 0.1474  4 O 1.95-2.03
Zn 0.3613 0.0269 0.8858  4 O 1.96-2.02
Zn 0.6387 0.5269 0.1142  4 O 1.96-2.02
Zn 0.9228 0.5000 0.8526  4 O 1.95-2.03
Si 0.0768 0.9896 0.8755  4 O 1.64-1.66
Si 0.3603 0.9480 0.3158  4 O 1.63-1.68
Si 0.4841 0.5249 0.8428  4 O 1.63-1.68
Si 0.5159 0.0249 0.1572  4 O 1.63-1.68
Si 0.6397 0.4480 0.6842  4 O 1.63-1.68
Si 0.9232 0.4896 0.1245  4 O 1.64-1.66
Pb 0.1533 0.5067 0.7165  4 O 2.48-2.67
Pb 0.1854 0.4884 0.3715  2 O 2.40-2.49
Pb 0.2655 0.6380 0.0589  3 O 2.31-2.49
Pb 0.4572 0.9614 0.6129  3 O 2.45-2.49
Pb 0.5428 0.4614 0.3871  3 O 2.45-2.49
Pb 0.7345 0.1380 0.9411  3 O 2.31-2.49
Pb 0.8146 0.9884 0.6285  2 O 2.40-2.49
Pb 0.8467 0.0067 0.2835  4 O 2.48-2.67
S 0.1485 0.0244 0.5340  4 O 1.47-1.51
S 0.8515 0.5244 0.4660  4 O 1.47-1.51
O 0.0495 0.3379 0.1911  1 Si 1.65
O 0.0516 0.0520 0.5860  1 S 1.47
O 0.0627 0.2894 0.8471  1 Si 1.64
O 0.1005 0.0336 0.4110  1 S 1.50
O 0.1099 0.9301 0.0082  1 Si 1.65
O 0.1948 0.8682 0.8444  1 Si 1.66
O 0.2159 0.7828 0.5686  1 S 1.50
O 0.2370 0.8250 0.2269  1 Si 1.66
O 0.2398 0.2354 0.5705  1 S 1.51
O 0.3461 0.2426 0.3406  1 Si 1.63
O 0.3576 0.3822 0.8438  1 Si 1.65
O 0.4019 0.7732 0.4268  1 Si 1.64
O 0.4020 0.9475 0.0471  1 Si 1.65
O 0.4663 0.8253 0.8245  1 Si 1.63
O 0.4755 0.9114 0.2630  2 Si 1.68
O 0.5245 0.4114 0.7370  2 Si 1.68
O 0.5337 0.3253 0.1755  1 Si 1.63
O 0.5981 0.2732 0.5732  1 Si 1.64
O 0.5980 0.4475 0.9529  1 Si 1.65
O 0.6424 0.8822 0.1562  1 Si 1.65
O 0.6539 0.7426 0.6594  1 Si 1.63
O 0.7602 0.7354 0.4295  1 S 1.51
O 0.7630 0.3250 0.7731  1 Si 1.66
O 0.7841 0.2828 0.4314  1 S 1.50
O 0.8052 0.3682 0.1556  1 Si 1.66
O 0.8901 0.4301 0.9918  1 Si 1.65
O 0.8995 0.5336 0.5890  1 S 1.50
O 0.9373 0.7894 0.1529  1 Si 1.64
O 0.9484 0.5520 0.4140  1 S 1.47
O 0.9505 0.8379 0.8089  1 Si 1.65

## Properties
ΔE_f (raw) (eV/f.u.): -47.53


Entry 6:
First-principles (PBE-GGA) data for crystalline SmPbS2O8 at its relaxed geometry, as listed in Alexandria.

abc: 5.5410 5.5410 8.9527
angles: 97.13 97.13 60.97
With the nearest neighbours (Å) after each atom.
Positions (direct):
Sm 0.0000 0.0000 0.0000  6 O 2.29-2.32
Pb 0.0000 0.0000 0.5000  2 O 2.57
S 0.3152 0.3152 0.7884  4 O 1.47-1.49
S 0.6848 0.6848 0.2116  4 O 1.47-1.49
O 0.1895 0.6198 0.8271  1 S 1.49
O 0.1981 0.1981 0.8826  1 S 1.49
O 0.2587 0.2587 0.6269  1 S 1.47
O 0.3802 0.8105 0.1729  1 S 1.49
O 0.6198 0.1895 0.8271  1 S 1.49
O 0.7413 0.7413 0.3731  1 S 1.47
O 0.8019 0.8019 0.1174  1 S 1.49
O 0.8105 0.3802 0.1729  1 S 1.49

## Properties
ΔE_f (raw) (eV/f.u.): -20.83


Entry 7:
First-principles (PBE-GGA) data for crystalline Sm3PbSO at its relaxed geometry, as listed in Alexandria.

abc: 8.8490 4.0331 9.1831
angles: 90.00 103.85 90.00
With the nearest neighbours (Å) after each atom.
Positions (direct):
Sm 0.0651 0.2500 0.3466  3 S 2.80-2.83
Sm 0.3302 0.2500 0.9771  3 O 2.29-2.30
Sm 0.3876 0.7500 0.6440  1 O 2.34
Sm 0.6124 0.2500 0.3560  1 O 2.34
Sm 0.6698 0.7500 0.0229  3 O 2.29-2.30
Sm 0.9349 0.7500 0.6534  3 S 2.80-2.83
Pb 0.3124 0.7500 0.2704  7 Sm 3.17-3.40
Pb 0.6876 0.2500 0.7296  7 Sm 3.17-3.40
S 0.1614 0.2500 0.6606  6 Sm 2.80-2.93
S 0.8386 0.7500 0.3394  6 Sm 2.80-2.93
O 0.4113 0.7500 0.9030  4 Sm 2.29-2.34
O 0.5887 0.2500 0.0970  4 Sm 2.29-2.34

## Properties
ΔE_f (raw) (eV/f.u.): -10.71


Entry 8:
First-principles (PBE-GGA) data for crystalline SnPbS2O at its relaxed geometry, as listed in Alexandria.

abc: 5.1386 5.1386 4.1127
angles: 90.00 90.00 90.00
With the nearest neighbours (Å) after each atom.
Positions (direct):
Sn 0.0000 0.0000 0.0000  2 O 2.06
Pb 0.5000 0.5000 0.5000  8 S 3.29, 4 O 3.63
S 0.0000 0.5000 0.0000  2 Sn 2.57
S 0.5000 0.0000 0.0000  2 Sn 2.57
O 0.0000 0.0000 0.5000  2 Sn 2.06

## Properties
ΔE_f (raw) (eV/f.u.): -2.62


Entry 9:
First-principles (PBE-GGA) data for crystalline SnPb2S2O2 at its relaxed geometry, as listed in Alexandria.

abc: 6.4556 6.4556 7.4361
angles: 119.78 119.78 34.09
With the nearest neighbours (Å) after each atom.
Positions (direct):
Sn 0.0000 0.0000 0.0000  2 O 2.10
Pb 0.1924 0.1924 0.7400  3 O 2.38-2.44
Pb 0.8076 0.8076 0.2600  3 O 2.38-2.44
S 0.4370 0.4370 0.7233  2 Sn 2.60
S 0.5630 0.5630 0.2767  2 Sn 2.60
O 0.1868 0.1868 0.0635  1 Sn 2.10
O 0.8132 0.8132 0.9365  1 Sn 2.10

## Properties
ΔE_f (raw) (eV/f.u.): -6.52


Entry 10:
First-principles (PBE-GGA) data for crystalline TmPbS2O8 at its relaxed geometry, as listed in Alexandria.

abc: 5.3913 5.3913 8.8878
angles: 96.26 96.26 60.83
With the nearest neighbours (Å) after each atom.
Positions (direct):
Tm 0.0000 0.0000 0.0000  6 O 2.18-2.21
Pb 0.0000 0.0000 0.5000  2 O 2.57
S 0.3186 0.3186 0.7958  4 O 1.47-1.49
S 0.6814 0.6814 0.2042  4 O 1.47-1.49
O 0.1889 0.6316 0.8334  1 S 1.49
O 0.1984 0.1984 0.8920  1 S 1.49
O 0.2621 0.2621 0.6340  1 S 1.47
O 0.3684 0.8111 0.1666  1 S 1.49
O 0.6316 0.1889 0.8334  1 S 1.49
O 0.7379 0.7379 0.3660  1 S 1.47
O 0.8016 0.8016 0.1080  1 S 1.49
O 0.8111 0.3684 0.1666  1 S 1.49

## Properties
ΔE_f (raw) (eV/f.u.): -21.24


Number 1: raw total energy -5.8422 eV/atom, volume 179 Å³/f.u.. Number 2: raw total energy -5.7368 eV/atom, volume 268 Å³/f.u.. Number 3: raw total energy -5.0125 eV/atom, volume 59 Å³/f.u.. Number 4: raw total energy -5.8019 eV/atom, volume 175 Å³/f.u.. Number 5: raw total energy -6.3874 eV/atom, volume 375 Å³/f.u.. Number 6: raw total energy -6.4318 eV/atom, volume 238 Å³/f.u.. Number 7: raw total energy -6.2777 eV/atom, volume 159 Å³/f.u.. Number 8: raw total energy -4.7096 eV/atom, volume 109 Å³/f.u.. Number 9: raw total energy -5.1583 eV/atom, volume 148 Å³/f.u.. Number 10: raw total energy -6.4453 eV/atom, volume 224 Å³/f.u..